No. 1
{"formula": "TcAg2SbRh", "functional": "SCAN", "state": "single point on PBEsol structure", "space_group": "P4/mmm (123)", "dos_ef_per_ev_fu": 4.47, "raw_formation_energy_ev_per_fu": 7.70, "cell": [[4.8811, 0.0000, 0.0000], [0.0000, 4.8811, 0.0000], [0.0000, 0.0000, 4.9286]], "species": ["Tc", "Ag", "Ag", "Sb", "Rh"], "fractional_positions": [[0.0000, 0.0000, 0.0000], [0.0000, 0.5000, 0.5000], [0.5000, 0.0000, 0.5000], [0.0000, 0.0000, 0.5000], [0.5000, 0.5000, 0.0000]]}


No. 2
{"formula": "OsRh2Br", "functional": "SCAN", "state": "single point on PBEsol structure", "space_group": "Pmmm (47)", "dos_ef_per_ev_fu": 3.50, "raw_formation_energy_ev_per_fu": 1.90, "cell": [[2.7482, 0.0000, 0.0000], [0.0000, 3.5315, 0.0000], [0.0000, 0.0000, 6.8220]], "species": ["Os", "Rh", "Rh", "Br"], "fractional_positions": [[0.0000, 0.0000, 0.0000], [0.5000, 0.5000, 0.1933], [0.5000, 0.5000, 0.8067], [0.5000, 0.0000, 0.5000]]}


No. 3
{"formula": "Y2NiAu", "functional": "SCAN", "state": "single point on PBEsol structure", "space_group": "Amm2 (38)", "delta_e_f_ev_per_atom": -0.78, "dos_ef_per_ev_fu": 2.30, "cell": [[4.3978, 0.0000, 0.0000], [0.0000, 1.8794, 5.1559], [0.0000, -1.8794, 5.1559]], "species": ["Y", "Y", "Ni", "Au"], "fractional_positions": [[0.0000, 0.0000, 0.0000], [0.5000, 0.2817, 0.2817], [0.5000, 0.5599, 0.5599], [0.0000, 0.7161, 0.7161]]}